The following is a DFT calculation (PBE) of crystalline SrPdS at its relaxed geometry.

Unit cell a=4.956 b=4.391 c=7.790 alpha=83.24 beta=87.25 gamma=66.67
Fractional positions:
Sr 0.281 0.802 0.089
Sr 0.754 0.650 0.659
S 0.347 0.389 0.495
S 0.685 0.126 0.945
Pd 0.177 0.975 0.456
Pd 0.630 0.144 0.257

Computed properties:
Formation energy without anion corrections ... -1.14 eV per atom